Model i:
Density functional theory data (PBE) for a relaxed CsYAu2 crystal.

POSCAR file:
```
CsYAu2
1.0
-1.7468 3.1364 4.0989
-5.3428 0.6939 0.8137
-2.4137 -2.2666 4.3273
Cs Au Y
1 2 1
direct
0.5000 0.5000 0.5000 Cs
0.7500 0.7500 0.7500 Au
0.2500 0.2500 0.2500 Au
0.0000 0.0000 0.0000 Y
```

Properties
Calculated volume: 28.60 A^3/atom
SG: No. 225



Model ii:
Density functional theory data (PBE) for a relaxed CsYAu2 crystal.

POSCAR file:
```
CsYAu2
1.0
-0.7812 2.6079 2.6374
2.5507 -1.5790 2.3169
6.0677 5.0752 -3.2212
Au Y Cs
2 1 1
direct
0.0000 0.0000 0.1729 Au
0.0000 0.0000 0.8271 Au
0.5000 0.5000 0.0000 Y
0.5000 0.5000 0.5000 Cs
```

Properties
Calculated volume: 30.68 A^3/atom
SG: No. 123



Most stable one: model ii, least stable one: model i.



Model i:
Density functional theory data (PBE) for a relaxed CsZn2Au crystal.

POSCAR file:
```
CsZn2Au
1.0
4.5539 0.0000 0.0000
0.0000 8.0008 0.0000
0.0000 0.0000 6.8279
Zn Au Cs
4 2 2
direct
0.0000 0.1686 0.9993 Zn
0.5000 0.3314 0.0007 Zn
0.5000 0.6686 0.0007 Zn
0.0000 0.8314 0.9993 Zn
0.0000 0.5000 0.0006 Au
0.5000 0.0000 0.9994 Au
0.5000 0.5000 0.5010 Cs
0.0000 0.0000 0.4990 Cs
```

Properties
Calculated volume: 31.10 A^3/atom
SG: No. 59



Model ii:
Density functional theory data (PBE) for a relaxed CsZn2Au crystal.

POSCAR file:
```
CsZn2Au
1.0
4.3156 0.0003 1.5619
1.8777 3.8857 1.5619
-0.1357 -0.0851 7.1970
Zn Au Cs
2 1 1
direct
0.3226 0.3226 0.0336 Zn
0.0067 0.0067 0.9818 Zn
0.6756 0.6756 0.9754 Au
0.4951 0.4951 0.5093 Cs
```

Properties
Calculated volume: 30.46 A^3/atom
SG: No. 8



Most stable one: model ii, least stable one: model i.



Model i:
Density functional theory data (PBE) for a relaxed CsZn2Au crystal.

POSCAR file:
```
CsZn2Au
1.0
5.8536 0.0000 0.0000
0.0000 5.8536 0.0000
2.9268 2.9268 8.2810
Zn Cs Au
4 2 2
direct
0.3750 0.1249 0.7500 Zn
0.8749 0.6250 0.2500 Zn
0.8750 0.1251 0.7500 Zn
0.8751 0.1250 0.2500 Zn
0.2500 0.7500 0.5000 Cs
0.5000 0.5000 0.0000 Cs
0.0000 0.0000 0.0000 Au
0.7500 0.2500 0.5000 Au
```

Properties
Calculated volume: 35.47 A^3/atom
SG: No. 141



Model ii:
Density functional theory data (PBE) for a relaxed CsZn2Au crystal.

POSCAR file:
```
CsZn2Au
1.0
4.5504 -3.0439 -0.4133
3.5922 -0.1446 4.1494
0.5350 -4.5602 3.0101
Cs Au Zn
1 1 2
direct
0.0000 0.0000 0.0000 Cs
0.5000 0.5000 0.5000 Au
0.2500 0.2500 0.2500 Zn
0.7500 0.7500 0.7500 Zn
```

Properties
Calculated volume: 29.25 A^3/atom
SG: No. 225



Most stable one: model i, least stable one: model ii.



Model i:
Density functional theory data (PBE) for a relaxed CsZn2Au2 crystal.

POSCAR file:
```
CsZn2Au2
1.0
-2.1884 3.5815 2.3509
-3.7952 -0.3959 -2.9297
-5.2716 -2.0631 3.1581
Zn Au Cs
2 2 1
direct
0.2500 0.7500 0.5000 Zn
0.7500 0.2500 0.5000 Zn
0.3620 0.3620 0.2760 Au
0.6380 0.6380 0.7240 Au
0.0000 0.0000 0.0000 Cs
```

Properties
Calculated volume: 25.54 A^3/atom
SG: No. 139



Model ii:
Density functional theory data (PBE) for a relaxed CsZn2Au2 crystal.

POSCAR file:
```
CsZn2Au2
1.0
8.7076 0.0000 0.0000
0.0000 8.7076 0.0000
0.0000 0.0000 3.0539
Au Cs Zn
4 2 4
direct
0.8482 0.6518 0.0000 Au
0.1518 0.3482 0.0000 Au
0.3482 0.8482 0.0000 Au
0.6518 0.1518 0.0000 Au
0.5000 0.5000 0.0000 Cs
0.0000 0.0000 0.0000 Cs
0.1210 0.6210 0.5000 Zn
0.3790 0.1210 0.5000 Zn
0.8790 0.3790 0.5000 Zn
0.6210 0.8790 0.5000 Zn
```

Properties
Calculated volume: 23.16 A^3/atom
SG: No. 127



Model iii:
Density functional theory data (PBE) for a relaxed CsZn2Au2 crystal.

POSCAR file:
```
CsZn2Au2
1.0
-1.9980 -7.5456 -3.5430
-2.1162 -3.0649 7.7207
-2.9295 0.9716 -0.4172
Au Zn Cs
4 4 2
direct
0.3398 0.1602 0.5000 Au
0.6602 0.8398 0.5000 Au
0.1602 0.6602 0.5000 Au
0.8398 0.3398 0.5000 Au
0.3841 0.8841 0.0000 Zn
0.6159 0.1159 0.0000 Zn
0.1159 0.3841 0.0000 Zn
0.8841 0.6159 0.0000 Zn
0.0000 0.0000 0.0000 Cs
0.5000 0.5000 0.0000 Cs
```

Properties
Calculated volume: 22.89 A^3/atom
SG: No. 127



Most stable one: model i, least stable one: model ii.



Model i:
Density functional theory data (PBE) for a relaxed CsZn2Au2 crystal.

POSCAR file:
```
CsZn2Au2
1.0
-4.7115 -2.6342 4.6515
5.8751 -3.7566 -1.4647
2.4790 6.1262 3.1666
Zn Au Cs
4 4 2
direct
0.1249 0.1249 0.2499 Zn
0.3749 0.8749 0.7499 Zn
0.8751 0.8751 0.7501 Zn
0.1251 0.6251 0.2501 Zn
0.1713 0.8287 0.0000 Au
0.4213 0.5787 0.5000 Au
0.0787 0.9213 0.5000 Au
0.8287 0.1713 0.0000 Au
0.5000 0.5000 0.0000 Cs
0.7500 0.2500 0.5000 Cs
```

Properties
Calculated volume: 28.31 A^3/atom
SG: No. 70



Model ii:
Density functional theory data (PBE) for a relaxed CsZn2Au2 crystal.

POSCAR file:
```
CsZn2Au2
1.0
4.8803 0.0000 0.0000
0.0000 4.8803 0.0000
2.4402 2.4402 5.3025
Zn Au Cs
2 2 1
direct
0.3650 0.3650 0.2699 Zn
0.6350 0.6350 0.7301 Zn
0.2500 0.7500 0.5000 Au
0.7500 0.2500 0.5000 Au
0.0000 0.0000 0.0000 Cs
```

Properties
Calculated volume: 25.26 A^3/atom
SG: No. 139



Most stable one: model i, least stable one: model ii.



Model i:
Density functional theory data (PBE) for a relaxed CsZn2Au3 crystal.

POSCAR file:
```
CsZn2Au3
1.0
-2.0029 -0.0010 5.3072
-6.6332 1.5866 -2.5030
0.7279 -7.2233 0.2734
Au Zn Cs
6 4 2
direct
0.7500 0.0841 0.0841 Au
0.2500 0.9159 0.9159 Au
0.7500 0.4826 0.0567 Au
0.2500 0.5174 0.9433 Au
0.2500 0.9433 0.5174 Au
0.7500 0.0567 0.4826 Au
0.5000 0.1873 0.8127 Zn
0.0000 0.8127 0.1873 Zn
0.5000 0.8127 0.1873 Zn
0.0000 0.1873 0.8127 Zn
0.7500 0.6465 0.6465 Cs
0.2500 0.3535 0.3535 Cs
```

Properties
Calculated volume: 23.63 A^3/atom
SG: No. 63



Model ii:
Density functional theory data (PBE) for a relaxed CsZn2Au3 crystal.

POSCAR file:
```
CsZn2Au3
1.0
4.6373 0.0000 0.0000
-2.3186 8.2990 0.3526
0.0000 -3.3585 7.6208
Cs Au Zn
2 6 4
direct
0.8281 0.6562 0.9109 Cs
0.1719 0.3438 0.0891 Cs
0.9968 0.9937 0.3077 Au
0.5942 0.1883 0.6599 Au
0.3090 0.6180 0.5593 Au
0.0032 0.0063 0.6923 Au
0.4058 0.8117 0.3401 Au
0.6910 0.3820 0.4407 Au
0.8511 0.7023 0.4340 Zn
0.5195 0.0390 0.1755 Zn
0.4805 0.9610 0.8245 Zn
0.1489 0.2977 0.5660 Zn
```

Properties
Calculated volume: 24.90 A^3/atom
SG: No. 12



Most stable one: model i, least stable one: model ii.



Model i:
Density functional theory data (PBE) for a relaxed CsZn3Au3 crystal.

POSCAR file:
```
CsZn3Au3
1.0
7.1027 0.0000 0.0000
3.5513 6.1511 0.0000
3.5513 2.0504 8.5049
Au Cs Zn
6 2 6
direct
0.1278 0.6650 0.3102 Au
0.8722 0.3350 0.6898 Au
0.8970 0.1278 0.3102 Au
0.3350 0.1030 0.6898 Au
0.1030 0.8722 0.6898 Au
0.6650 0.8970 0.3102 Au
0.3336 0.3336 0.9992 Cs
0.6664 0.6664 0.0008 Cs
0.4524 0.2911 0.3830 Zn
0.5476 0.7089 0.6170 Zn
0.1265 0.5476 0.6170 Zn
0.2911 0.8735 0.3830 Zn
0.7089 0.1265 0.6170 Zn
0.8735 0.4524 0.3830 Zn
```

Properties
Calculated volume: 26.54 A^3/atom
SG: No. 148



Model ii:
Density functional theory data (PBE) for a relaxed CsZn3Au3 crystal.

POSCAR file:
```
CsZn3Au3
1.0
7.3188 0.0000 0.0000
0.0000 7.3188 0.0000
0.0000 0.0000 7.3188
Zn Au Cs
6 6 2
direct
0.5000 0.7500 0.0000 Zn
0.2500 0.0000 0.5000 Zn
0.5000 0.2500 0.0000 Zn
0.0000 0.5000 0.2500 Zn
0.7500 0.0000 0.5000 Zn
0.0000 0.5000 0.7500 Zn
0.5000 0.0000 0.7500 Au
0.0000 0.2500 0.5000 Au
0.2500 0.5000 0.0000 Au
0.0000 0.7500 0.5000 Au
0.7500 0.5000 0.0000 Au
0.5000 0.0000 0.2500 Au
0.5000 0.5000 0.5000 Cs
0.0000 0.0000 0.0000 Cs
```

Properties
Calculated volume: 28.00 A^3/atom
SG: No. 223



Most stable one: model i, least stable one: model ii.



Model i:
Density functional theory data (PBE) for a relaxed Cs2ZnAu crystal.

POSCAR file:
```
Cs2ZnAu
1.0
-5.7421 2.3195 0.9348
-5.0367 -3.4719 -1.3429
-3.5733 -2.2537 4.6237
Cs Au Zn
2 1 1
direct
0.2500 0.2500 0.2500 Cs
0.7500 0.7500 0.7500 Cs
0.5000 0.5000 0.5000 Au
0.0000 0.0000 0.0000 Zn
```

Properties
Calculated volume: 43.43 A^3/atom
SG: No. 225



Model ii:
Density functional theory data (PBE) for a relaxed Cs2ZnAu crystal.

POSCAR file:
```
Cs2ZnAu
1.0
-3.1673 -9.2293 1.9331
0.4849 -2.1960 -9.6897
2.6205 -6.9709 -3.3949
Au Zn Cs
2 2 4
direct
0.0000 0.0000 0.0000 Au
0.7500 0.2500 0.5000 Au
0.2500 0.7500 0.5000 Zn
0.5000 0.5000 0.0000 Zn
0.6510 0.1250 0.2500 Cs
0.0990 0.6250 0.2500 Cs
0.8750 0.9010 0.7500 Cs
0.3750 0.3490 0.7500 Cs
```

Properties
Calculated volume: 51.76 A^3/atom
SG: No. 122



Most stable one: model i, least stable one: model ii.